# 1
First-principles (GGA-PBE) data for a geometry-optimized HgBr3Cl structure, as listed in the Alexandria database.

The raw formation energy is 22 kJ per mole of atoms. As for the density of states at the Fermi level: 9.1 states/eV/cell. Its crystal system is cubic. The total energy comes out at -6.05 eV for the cell shown. The value obtained for the excess energy over the best structure of this formula in the dataset is 0 meV per atom. The total magnetization is 1.831 Bohr magnetons per cell.

The space group is Pm-3m (No. 221) and the conventional cell measures 5.506, 5.506 and 5.506 Å, with angles of 90.00, 90.00 and 90.00 degrees. The inequivalent atoms are Hg at (0.000, 0.000, 0.000), Br at (0.000, 0.000, 0.500) and Cl at (0.500, 0.500, 0.500).


# 2
First-principles (GGA-PBE) data for a geometry-optimized CsAgAu4 structure, as listed in the Alexandria database.

The formation energy comes out at 3.0 kJ/mol of atoms. As for the density of states at the Fermi level: 7.2 states/eV/cell. Its crystal system is cubic. The total energy comes out at -66.51 eV for the cell shown. The total magnetization is 0.000 Bohr magnetons per cell.

The space group is F-43m (No. 216) and the conventional cell measures 8.188, 8.188 and 8.188 Å, with angles of 90.00, 90.00 and 90.00 degrees. The inequivalent atoms are Cs at (0.000, 0.000, 0.000), Ag at (0.250, 0.250, 0.750) and Au at (0.124, 0.124, 0.376).


# 3
First-principles (GGA-PBE) data for a geometry-optimized Tc2HgRh structure, as listed in the Alexandria database.

The formation energy comes out at 50.2 kJ/mol of atoms. As for the density of states at the Fermi level: 17.4 states/eV/cell. Its crystal system is cubic. The total energy comes out at -105.22 eV for the cell shown. The total magnetization is 5.311 Bohr magnetons per cell.

The space group is F-43m (No. 216) and the conventional cell measures 6.364, 6.364 and 6.364 Å, with angles of 90.00, 90.00 and 90.00 degrees. The inequivalent atoms are Tc at (0.000, 0.000, 0.000), Tc at (0.250, 0.250, 0.250), Hg at (0.000, 0.000, 0.500) and Rh at (0.250, 0.250, 0.750).


# 4
First-principles (GGA-PBE) data for a geometry-optimized InCu4Pd5 structure, as listed in the Alexandria database.

The formation energy comes out at -20.8 kJ/mol of atoms. As for the density of states at the Fermi level: 2.7 states/eV/cell. Its crystal system is tetragonal. The total energy comes out at -47.24 eV for the cell shown. The total magnetization is 0.000 Bohr magnetons per cell.

The space group is P4/mmm (No. 123) and the conventional cell measures 3.124, 3.124 and 14.911 Å, with angles of 90.00, 90.00 and 90.00 degrees. The inequivalent atoms are In at (0.000, 0.000, 0.000), Cu at (0.000, 0.000, 0.214), Cu at (0.000, 0.000, 0.404), Pd at (0.500, 0.500, 0.113), Pd at (0.500, 0.500, 0.307) and Pd at (0.500, 0.500, 0.500).


- Number 4 is which compound?
  InCu4Pd5